No. 1
# Mn2CrInCo

A relaxed structure of Mn2CrInCo (PBE, Alexandria via LeMat-Bulk).

abc: 4.2410 4.2410 4.3994
angles: 90.00 90.00 90.00
With the nearest neighbours (Å) after each atom.
Sites, in units of the cell vectors:
Mn 0.0000 0.5000 0.0000  2 Co 2.12
Mn 0.5000 0.0000 0.0000  2 Co 2.12
Cr 0.0000 0.0000 0.5000  2 Co 2.20
In 0.5000 0.5000 0.5000  4 Cr 3.00, 8 Mn 3.06
Co 0.0000 0.0000 0.0000  4 Mn 2.12, 2 Cr 2.20

***

No. 2
# Sr2ScZn

A relaxed structure of Sr2ScZn (PBE, Alexandria via LeMat-Bulk).

abc: 5.0407 5.0407 10.3535
angles: 90.00 90.00 90.00
With the nearest neighbours (Å) after each atom.
Sites, in units of the cell vectors:
Sr 0.0000 0.0000 0.0000  4 Sc 3.56, 4 Sr 3.61, 4 Zn 3.61
Sr 0.0000 0.5000 0.2500  4 Zn 3.56, 4 Sr 3.61, 4 Sc 3.61
Sr 0.5000 0.0000 0.7500  4 Zn 3.56, 4 Sc 3.61, 4 Sr 3.61
Sr 0.5000 0.5000 0.5000  4 Sc 3.56, 4 Sr 3.61, 4 Zn 3.61
Sc 0.0000 0.0000 0.5000  8 Sr 3.56-3.61, 4 Zn 3.61
Sc 0.5000 0.5000 0.0000  8 Sr 3.56-3.61, 4 Zn 3.61
Zn 0.0000 0.5000 0.7500  8 Sr 3.56-3.61, 4 Sc 3.61
Zn 0.5000 0.0000 0.2500  8 Sr 3.56-3.61, 4 Sc 3.61

***

No. 3
# LiTbRhPb

A relaxed structure of LiTbRhPb (PBE, Alexandria via LeMat-Bulk).

abc: 6.8018 6.8018 6.8018
angles: 90.00 90.00 90.00
With the nearest neighbours (Å) after each atom.
Sites, in units of the cell vectors:
Li 0.0000 0.0000 0.0000  4 Tb 2.95, 4 Pb 2.95
Li 0.0000 0.5000 0.5000  4 Tb 2.95, 4 Pb 2.95
Li 0.5000 0.0000 0.5000  4 Tb 2.95, 4 Pb 2.95
Li 0.5000 0.5000 0.0000  4 Tb 2.95, 4 Pb 2.95
Tb 0.2500 0.2500 0.7500  4 Li 2.95, 4 Rh 2.95
Tb 0.2500 0.7500 0.2500  4 Li 2.95, 4 Rh 2.95
Tb 0.7500 0.2500 0.2500  4 Li 2.95, 4 Rh 2.95
Tb 0.7500 0.7500 0.7500  4 Li 2.95, 4 Rh 2.95
Rh 0.0000 0.0000 0.5000  4 Tb 2.95, 4 Pb 2.95
Rh 0.0000 0.5000 0.0000  4 Tb 2.95, 4 Pb 2.95
Rh 0.5000 0.0000 0.0000  4 Tb 2.95, 4 Pb 2.95
Rh 0.5000 0.5000 0.5000  4 Tb 2.95, 4 Pb 2.95
Pb 0.2500 0.2500 0.2500  4 Li 2.95, 4 Rh 2.95
Pb 0.2500 0.7500 0.7500  4 Li 2.95, 4 Rh 2.95
Pb 0.7500 0.2500 0.7500  4 Li 2.95, 4 Rh 2.95
Pb 0.7500 0.7500 0.2500  4 Li 2.95, 4 Rh 2.95

***

No. 4
# SmSn2Ge2Pd7

A relaxed structure of SmSn2Ge2Pd7 (PBE, Alexandria via LeMat-Bulk).

abc: 4.0392 4.0392 14.4131
angles: 96.13 96.13 89.42
With the nearest neighbours (Å) after each atom.
Sites, in units of the cell vectors:
Sm 0.0000 0.0000 0.0000  12 Pd 2.84-2.99
Sn 0.1142 0.1142 0.3882  5 Pd 2.78-3.00
Sn 0.8858 0.8858 0.6118  5 Pd 2.78-3.00
Ge 0.4024 0.4024 0.7429  5 Pd 2.47-2.50
Ge 0.5976 0.5976 0.2571  5 Pd 2.47-2.50
Pd 0.0595 0.5594 0.1545  2 Ge 2.49-2.50
Pd 0.3587 0.3587 0.5701  1 Ge 2.47
Pd 0.4406 0.9405 0.8455  2 Ge 2.49-2.50
Pd 0.5000 0.5000 0.0000  4 Sm 2.84-2.87, 8 Pd 2.98-2.99
Pd 0.5594 0.0595 0.1545  2 Ge 2.49-2.50
Pd 0.6413 0.6413 0.4299  1 Ge 2.47
Pd 0.9405 0.4406 0.8455  2 Ge 2.49-2.50

***

E_form in kJ/mol of formula units, matching the order above: 505, 111, -204, -528